(1)
# Al3PIr | Alexandria via LeMat-Bulk | PBE-GGA | optimized geometry
data_Al3PIr
_chemical_formula_sum 'Al3 P1 Ir1'
_space_group_name_H-M_alt 'P m -3 m'
_space_group_IT_number 221
_space_group_name_Hall '-P 4 2 3'
_cell_length_a 4.4848
_cell_length_b 4.4848
_cell_length_c 4.4848
_cell_angle_alpha 90.00
_cell_angle_beta 90.00
_cell_angle_gamma 90.00
loop_
_atom_site_label
_atom_site_type_symbol
_atom_site_fract_x
_atom_site_fract_y
_atom_site_fract_z
Al1 Al 0.0000 0.0000 0.5000
P1 P 0.0000 0.0000 0.0000
Ir1 Ir 0.5000 0.5000 0.5000
# raw total energy	-4.461	eV per atom
# formation energy from the elements	0.639	eV/atom
# total magnetization	0.00	Bohr magnetons per cell

=====

(2)
# CdSn2Ir | Alexandria via LeMat-Bulk | PBE-GGA | optimized geometry
data_CdSn2Ir
_chemical_formula_sum 'Cd1 Sn2 Ir1'
_space_group_name_H-M_alt 'P 3 m 1'
_space_group_IT_number 156
_cell_length_a 4.5767
_cell_length_b 4.5767
_cell_length_c 5.2934
_cell_angle_alpha 90.00
_cell_angle_beta 90.00
_cell_angle_gamma 120.00
loop_
_space_group_symop_operation_xyz
'x,y,z'
'-y,x-y,z'
'-x+y,-x,z'
'-y,-x,z'
'-x+y,y,z'
'x,x-y,z'
loop_
_atom_site_label
_atom_site_type_symbol
_atom_site_fract_x
_atom_site_fract_y
_atom_site_fract_z
Cd1 Cd 0.0000 0.0000 0.0000
Sn1 Sn 0.3333 0.6667 0.7041
Sn2 Sn 0.6667 0.3333 0.3407
Ir1 Ir 0.3333 0.6667 0.2041
# raw total energy	-4.490	eV per atom
# formation energy from the elements	-0.044	eV/atom
# total magnetization	0.00	Bohr magnetons per cell

=====

(3)
# CaInAgSn | Alexandria via LeMat-Bulk | PBE-GGA | optimized geometry
data_CaInAgSn
_chemical_formula_sum 'Ca4 In4 Ag4 Sn4'
_space_group_name_H-M_alt 'F -4 3 m'
_space_group_IT_number 216
_space_group_name_Hall 'F -4 2 3'
_cell_length_a 7.3569
_cell_length_b 7.3569
_cell_length_c 7.3569
_cell_angle_alpha 90.00
_cell_angle_beta 90.00
_cell_angle_gamma 90.00
loop_
_atom_site_label
_atom_site_type_symbol
_atom_site_fract_x
_atom_site_fract_y
_atom_site_fract_z
Ca1 Ca 0.0000 0.0000 0.0000
In1 In 0.0000 0.0000 0.5000
Ag1 Ag 0.2500 0.2500 0.2500
Sn1 Sn 0.2500 0.2500 0.7500
# raw total energy	-3.144	eV per atom
# formation energy from the elements	-0.245	eV/atom
# total magnetization	0.00	Bohr magnetons per cell

=====

(4)
# LiTe2 | Alexandria via LeMat-Bulk | PBE-GGA | optimized geometry
data_LiTe2
_chemical_formula_sum 'Li2 Te4'
_space_group_name_H-M_alt 'I 4/m m m'
_space_group_IT_number 139
_space_group_name_Hall '-I 4 2'
_cell_length_a 3.1689
_cell_length_b 3.1689
_cell_length_c 17.0350
_cell_angle_alpha 90.00
_cell_angle_beta 90.00
_cell_angle_gamma 90.00
loop_
_atom_site_label
_atom_site_type_symbol
_atom_site_fract_x
_atom_site_fract_y
_atom_site_fract_z
Li1 Li 0.0000 0.0000 0.0000
Te1 Te 0.0000 0.0000 0.3744
# raw total energy	-3.134	eV per atom
# uncorrected formation energy	-401	meV per atom
# total magnetization	0.00	Bohr magnetons per cell

=====

(5)
# Ni2TeIr | Alexandria via LeMat-Bulk | PBE-GGA | optimized geometry
data_Ni2TeIr
_chemical_formula_sum 'Ni2 Te1 Ir1'
_space_group_name_H-M_alt 'P m m 2'
_space_group_IT_number 25
_cell_length_a 3.1507
_cell_length_b 3.4559
_cell_length_c 5.4089
_cell_angle_alpha 90.00
_cell_angle_beta 90.00
_cell_angle_gamma 90.00
loop_
_space_group_symop_operation_xyz
'x,y,z'
'-x,-y,z'
'-x,y,z'
'x,-y,z'
loop_
_atom_site_label
_atom_site_type_symbol
_atom_site_fract_x
_atom_site_fract_y
_atom_site_fract_z
Ni1 Ni 0.0000 0.0000 0.0000
Ni2 Ni 0.5000 0.5000 0.2162
Te1 Te 0.0000 0.0000 0.4717
Ir1 Ir 0.5000 0.5000 0.7538
# raw total energy	-5.646	eV per atom
# uncorrected formation energy	245	meV per atom
# total magnetization	0.00	Bohr magnetons per cell